No. 1
VASP calculation (PBE-GGA) on an optimized crystal structure of Rb3SiSe4.

* distance to the lowest polymorph of the same formula: 0.0 kJ/mol of formula units
* final energy: -29.66 eV per cell
* formation energy (no corrections): -0.9249 eV per atom
* space-group type: Imm2 (44)

abc: 8.333 8.333 8.333
angles: 137.19 68.31 129.49
Sites, in units of the cell vectors:
Rb 0.000 0.000 0.000
Rb 0.451 0.164 0.287
Rb 0.877 0.164 0.713
Si 0.305 0.805 0.500
Se 0.274 0.634 0.640
Se 0.534 0.300 0.766
Se 0.534 0.768 0.234
Se 0.994 0.634 0.360

=====

No. 2
VASP calculation (PBE-GGA) on an optimized crystal structure of RbSiSe.

* final energy: -44.41 eV per cell
* formation energy (no corrections): -0.4090 eV per atom
* space-group type: P2_1/c (14)

abc: 6.839 7.695 8.229
angles: 90.00 108.75 90.00
Sites, in units of the cell vectors:
Rb 0.200 0.121 0.276
Rb 0.200 0.379 0.776
Rb 0.800 0.621 0.224
Rb 0.800 0.879 0.724
Si 0.397 0.607 0.420
Si 0.397 0.893 0.920
Si 0.603 0.107 0.080
Si 0.603 0.393 0.580
Se 0.245 0.720 0.079
Se 0.245 0.780 0.579
Se 0.755 0.220 0.421
Se 0.755 0.280 0.921

=====

No. 3
VASP calculation (PBE-GGA) on an optimized crystal structure of RbSiSe3.

* final energy: -80.15 eV per cell
* formation energy (no corrections): -0.6387 eV per atom
* space-group type: P2_1/c (14)

abc: 7.442 13.172 6.762
angles: 90.00 99.17 90.00
Sites, in units of the cell vectors:
Rb 0.245 0.058 0.234
Rb 0.245 0.442 0.734
Rb 0.755 0.558 0.266
Rb 0.755 0.942 0.766
Si 0.294 0.718 0.352
Si 0.294 0.782 0.852
Si 0.706 0.218 0.148
Si 0.706 0.282 0.648
Se 0.045 0.686 0.875
Se 0.045 0.814 0.375
Se 0.232 0.560 0.234
Se 0.232 0.940 0.734
Se 0.487 0.701 0.659
Se 0.487 0.799 0.159
Se 0.513 0.201 0.841
Se 0.513 0.299 0.341
Se 0.768 0.060 0.266
Se 0.768 0.440 0.766
Se 0.955 0.186 0.625
Se 0.955 0.314 0.125

=====

No. 4
VASP calculation (PBE-GGA) on an optimized crystal structure of Rb7SiSe6.

* final energy: -93.45 eV per cell
* formation energy (no corrections): -0.9731 eV per atom
* space-group type: Ibam (72)

abc: 12.466 12.466 12.466
angles: 138.60 109.00 85.66
Sites, in units of the cell vectors:
Rb 0.047 0.241 0.288
Rb 0.073 0.527 0.865
Rb 0.162 0.027 0.454
Rb 0.250 0.250 0.000
Rb 0.338 0.792 0.865
Rb 0.427 0.292 0.454
Rb 0.453 0.741 0.194
Rb 0.547 0.259 0.806
Rb 0.573 0.708 0.546
Rb 0.662 0.208 0.135
Rb 0.750 0.750 0.000
Rb 0.838 0.973 0.546
Rb 0.927 0.473 0.135
Rb 0.953 0.759 0.712
Si 0.250 0.750 0.500
Si 0.750 0.250 0.500
Se 0.091 0.841 0.571
Se 0.177 0.928 0.104
Se 0.230 0.659 0.249
Se 0.270 0.520 0.429
Se 0.323 0.428 0.751
Se 0.409 0.980 0.751
Se 0.591 0.020 0.249
Se 0.677 0.572 0.249
Se 0.730 0.480 0.571
Se 0.770 0.341 0.751
Se 0.823 0.072 0.896
Se 0.909 0.159 0.429